An optimized crystal structure of Ce3Pm3PuSe8, computed with PBE-GGA.

```
15
Lattice="-0.918 -4.963 -6.718 -3.200 -2.326 7.411 -3.403 6.360 -4.233" Properties=species:S:1:pos:R:3 pbc="T T T"
Se -2.676 -0.819 0.971
Se -3.243 1.049 -8.212
Se -4.737 -4.458 1.316
Se -4.278 -1.979 4.671
Se -4.845 -0.111 -4.511
Se -4.387 2.366 -1.149
Se -2.784 3.528 -4.856
Se -3.133 -3.296 -2.392
Pu -1.702 3.180 -2.116
Ce -3.760 -0.465 -1.770
Ce -3.301 2.017 1.589
Ce -2.161 0.698 -5.476
Pm -2.059 -3.645 0.346
Pm -1.600 -1.163 3.705
Pm 0.000 0.000 0.000
```

Output
Total moment, μB/cell: 3.17
Formation energy (no corrections), eV per atom: -1.81



An optimized crystal structure of CePm3Pu2Se6, computed with PBE-GGA.

```
12
Lattice="7.222 -0.001 0.001 -3.610 6.255 0.001 -1.204 -2.085 6.871" Properties=species:S:1:pos:R:3 pbc="T T T"
Se 2.397 4.150 1.696
Se 0.011 0.018 5.176
Se -0.020 4.169 5.175
Se -1.213 2.103 1.697
Se 3.621 2.066 5.175
Se 2.428 0.000 1.697
Pm 4.817 -0.003 3.436
Pm 1.204 2.084 3.436
Pm -2.410 4.171 3.436
Ce 0.000 0.000 0.000
Pu -0.003 4.171 0.001
Pu 3.614 2.082 0.001
```

Output
Total moment, μB/cell: 12.51
Formation energy (no corrections), eV per atom: -1.75



An optimized crystal structure of Ce2PmPuSe5, computed with PBE-GGA.

```
9
Lattice="5.149 0.000 0.000 0.000 5.149 0.000 0.000 0.000 10.968" Properties=species:S:1:pos:R:3 pbc="T T T"
Pu 0.000 0.000 5.484
Se 2.575 0.000 5.484
Se 0.000 0.000 8.250
Se 0.000 2.575 5.484
Se 0.000 0.000 2.717
Se 2.575 2.575 0.000
Pm 0.000 0.000 0.000
Ce 2.575 2.575 3.461
Ce 2.575 2.575 7.507
```

Output
Total moment, μB/cell: 2.83
Formation energy (no corrections), eV per atom: -1.17



An optimized crystal structure of CePmPuSn, computed with PBE-GGA.

```
4
Lattice="-2.218 3.980 2.835 -4.876 1.826 -1.300 -4.183 -0.999 3.209" Properties=species:S:1:pos:R:3 pbc="T T T"
Pu -5.638 2.404 2.372
Ce -2.819 1.202 1.186
Pm 0.000 0.000 0.000
Sn -8.458 3.606 3.558
```

Output
Total moment, μB/cell: 8.03
E_form, eV/f.u.: -0.70



An optimized crystal structure of TbCePmPu, computed with PBE-GGA.

```
4
Lattice="-0.949 1.466 5.305 1.675 -3.329 4.160 4.253 1.545 3.274" Properties=species:S:1:pos:R:3 pbc="T T T"
Pm 3.734 -0.238 9.554
Ce 2.489 -0.159 6.370
Pu 1.245 -0.079 3.185
Tb 0.000 0.000 0.000
```

Output
Total moment, μB/cell: 8.51
E_form, eV/f.u.: 0.86



An optimized crystal structure of CePm2PuTc2, computed with PBE-GGA.

```
12
Lattice="7.194 0.000 0.000 0.000 7.142 0.000 -3.597 -3.571 6.171" Properties=species:S:1:pos:R:3 pbc="T T T"
Tc 1.857 3.571 0.767
Tc -1.740 3.571 5.404
Tc 5.337 0.000 0.767
Tc 1.740 0.000 5.404
Pm 1.482 3.571 3.733
Pm -1.482 0.000 3.733
Pm 2.115 0.000 2.438
Pm 5.079 3.571 2.438
Pu 3.597 5.357 0.000
Pu 3.597 1.786 0.000
Ce 0.000 5.357 0.000
Ce 0.000 1.786 0.000
```

Output
Total moment, μB/cell: 8.32
E_form, eV/f.u.: 0.43



Question: Which formula does entry 1 have?
Answer: Ce3Pm3PuSe8